Entry 1:
The following is a DFT calculation (PBE) of crystalline Pu2SnN at its relaxed geometry.

Results
Space-group type: P4/mmm
Magnetic moment: 10.91 μB/f.u.
D(E_F): 9.108 states/eV/f.u.
Raw formation energy: -0.499 eV/atom

Cell: 3.1253 3.1253 7.9831 Å, 90.00 90.00 90.00°
Last column: nearest neighbours and their distance in Å.
Element x y z (fractional)
Pu 0.0000 0.0000 0.1807  4 N 2.64, 1 Pu 2.88
Pu 0.0000 0.0000 0.8193  4 N 2.64, 1 Pu 2.88
Sn 0.5000 0.5000 0.5000  4 Sn 3.13, 8 Pu 3.37
N 0.5000 0.5000 0.0000  8 Pu 2.64

***

Entry 2:
The following is a DFT calculation (PBE) of crystalline Pu6Sn2N at its relaxed geometry.

Results
Space-group type: P4_2/mnm
Magnetic moment: 11.36 μB/f.u.
D(E_F): 38.894 states/eV/f.u.
Raw formation energy: -0.389 eV/atom

Cell: 6.6566 6.6566 9.3437 Å, 90.00 90.00 90.00°
Last column: nearest neighbours and their distance in Å.
Element x y z (fractional)
Pu 0.0000 0.0000 0.2460  1 N 2.37
Pu 0.0000 0.0000 0.7540  1 N 2.37
Pu 0.2486 0.2486 0.0000  1 N 2.37
Pu 0.2503 0.2503 0.5000  1 N 2.36
Pu 0.2497 0.7503 0.0000  1 N 2.36
Pu 0.2514 0.7486 0.5000  1 N 2.37
Pu 0.5000 0.5000 0.2540  1 N 2.37
Pu 0.5000 0.5000 0.7460  1 N 2.37
Pu 0.7486 0.2514 0.5000  1 N 2.37
Pu 0.7503 0.2497 0.0000  1 N 2.36
Pu 0.7497 0.7497 0.5000  1 N 2.36
Pu 0.7514 0.7514 0.0000  1 N 2.37
Sn 0.0000 0.5000 0.2500  12 Pu 3.32-3.33
Sn 0.0000 0.5000 0.7500  12 Pu 3.32-3.33
Sn 0.5000 0.0000 0.2500  12 Pu 3.32-3.33
Sn 0.5000 0.0000 0.7500  12 Pu 3.32-3.33
N 0.0000 0.0000 0.5000  6 Pu 2.36-2.37
N 0.5000 0.5000 0.0000  6 Pu 2.36-2.37

***

Entry 3:
The following is a DFT calculation (PBE) of crystalline Pu2SnN at its relaxed geometry.

Results
Space-group type: R-3m
Magnetic moment: 0.00 μB/f.u.
D(E_F): 5.783 states/eV/f.u.
Raw formation energy: -0.046 eV/atom

Cell: 6.0183 6.0183 6.0183 Å, 39.23 39.23 39.23°
Last column: nearest neighbours and their distance in Å.
Element x y z (fractional)
Pu 0.1897 0.1897 0.1897  3 N 2.36, 3 Pu 2.46
Pu 0.8103 0.8103 0.8103  3 N 2.36, 3 Pu 2.46
Sn 0.0000 0.0000 0.0000  8 Pu 3.16-3.34
N 0.5000 0.5000 0.5000  6 Pu 2.36

***

Entry 4:
The following is a DFT calculation (PBE) of crystalline Pu4Sn2N at its relaxed geometry.

Results
Space-group type: I4/mmm
Magnetic moment: 21.20 μB/f.u.
D(E_F): 31.823 states/eV/f.u.
Raw formation energy: -0.505 eV/atom

Cell: 8.7454 8.7454 8.7454 Å, 148.65 148.65 44.93°
Last column: nearest neighbours and their distance in Å.
Element x y z (fractional)
Pu 0.0000 0.5000 0.5000  2 N 2.36
Pu 0.1600 0.1600 0.0000  1 N 2.59
Pu 0.5000 0.0000 0.5000  2 N 2.36
Pu 0.8400 0.8400 0.0000  1 N 2.59
Sn 0.3595 0.3595 0.0000  9 Pu 3.23-3.36
Sn 0.6405 0.6405 0.0000  9 Pu 3.23-3.36
N 0.0000 0.0000 0.0000  6 Pu 2.36-2.59

***

Entry 5:
The following is a DFT calculation (PBE) of crystalline Pu2SnN at its relaxed geometry.

Results
Space-group type: P4/mmm
Magnetic moment: 10.18 μB/f.u.
D(E_F): 15.529 states/eV/f.u.
Raw formation energy: 0.315 eV/atom

Cell: 5.1744 5.1744 3.1882 Å, 90.00 90.00 90.00°
Last column: nearest neighbours and their distance in Å.
Element x y z (fractional)
Pu 0.0000 0.5000 0.0000  4 Sn 3.04, 4 N 3.04, 2 Pu 3.19
Pu 0.5000 0.0000 0.0000  4 Sn 3.04, 4 N 3.04, 2 Pu 3.19
Sn 0.0000 0.0000 0.5000  8 Pu 3.04, 2 Sn 3.19
N 0.5000 0.5000 0.5000  8 Pu 3.04, 2 N 3.19

***

Entry 6:
The following is a DFT calculation (PBE) of crystalline PuTh2SnN5 at its relaxed geometry.

Results
Space-group type: Cmc2_1
Magnetic moment: 4.99 μB/f.u.
D(E_F): 7.065 states/eV/f.u.
Raw formation energy: -0.966 eV/atom

Cell: 7.3454 7.3454 11.3649 Å, 90.00 90.00 151.95°
Last column: nearest neighbours and their distance in Å.
Element x y z (fractional)
Pu 0.2299 0.7701 0.5000  6 N 2.26-2.49
Pu 0.7701 0.2299 0.0000  6 N 2.26-2.49
Th 0.1279 0.8721 0.2244  5 N 2.40-2.63
Th 0.1338 0.8662 0.7601  6 N 2.43-2.52
Th 0.8662 0.1338 0.2601  6 N 2.43-2.52
Th 0.8721 0.1279 0.7244  5 N 2.40-2.63
Sn 0.4952 0.5048 0.9912  4 N 2.10-2.11
Sn 0.5048 0.4952 0.4912  4 N 2.10-2.11
N 0.0618 0.9382 0.5604  2 Sn 2.11
N 0.2857 0.7143 0.1500  3 Th 2.40-2.46, 2 Pu 2.47
N 0.2861 0.7139 0.8564  2 Pu 2.43, 3 Th 2.43-2.63
N 0.3753 0.6247 0.5800  1 Sn 2.10, 1 Pu 2.26
N 0.4857 0.5143 0.3078  1 Sn 2.10
N 0.5143 0.4857 0.8078  1 Sn 2.10
N 0.6247 0.3753 0.0800  1 Sn 2.10, 1 Pu 2.26
N 0.7139 0.2861 0.3564  2 Pu 2.43, 3 Th 2.43-2.63
N 0.7143 0.2857 0.6500  3 Th 2.40-2.46, 2 Pu 2.47
N 0.9382 0.0618 0.0604  2 Sn 2.11

***

Entry 7:
The following is a DFT calculation (PBE) of crystalline SrPu2N3 at its relaxed geometry.

Results
Space-group type: P2_1/m
Magnetic moment: 0.90 μB/f.u.
D(E_F): 14.504 states/eV/f.u.
Raw formation energy: -1.044 eV/atom

Cell: 6.1492 3.5050 9.1428 Å, 90.00 102.98 90.00°
Last column: nearest neighbours and their distance in Å.
Element x y z (fractional)
Sr 0.0279 0.2500 0.3287  6 N 2.69-2.77
Sr 0.9721 0.7500 0.6713  6 N 2.69-2.77
Pu 0.2524 0.2500 0.9994  6 N 2.32-2.46
Pu 0.4777 0.2500 0.6620  3 N 2.29-2.33
Pu 0.5223 0.7500 0.3380  3 N 2.29-2.33
Pu 0.7476 0.7500 0.0006  6 N 2.32-2.46
N 0.1411 0.7500 0.1356  3 Pu 2.34-2.46
N 0.3051 0.7500 0.5109  3 Pu 2.29-2.33
N 0.3797 0.7500 0.8652  3 Pu 2.32-2.37
N 0.6203 0.2500 0.1348  3 Pu 2.32-2.37
N 0.6949 0.2500 0.4891  3 Pu 2.29-2.33
N 0.8589 0.2500 0.8644  3 Pu 2.34-2.46

***

Entry 8:
The following is a DFT calculation (PBE) of crystalline Sr2PuN3 at its relaxed geometry.

Results
Space-group type: Immm
Magnetic moment: 3.00 μB/f.u.
D(E_F): 5.261 states/eV/f.u.
Raw formation energy: -0.882 eV/atom

Cell: 6.4002 6.4002 6.4002 Å, 147.60 133.12 58.14°
Last column: nearest neighbours and their distance in Å.
Element x y z (fractional)
Sr 0.1639 0.1639 0.0000  4 N 2.56-2.59
Sr 0.8361 0.8361 0.0000  4 N 2.56-2.59
Pu 0.5000 0.5000 0.0000  4 N 2.26
N 0.0000 0.5000 0.5000  2 Pu 2.55, 4 Sr 2.56
N 0.3761 0.8761 0.5000  2 Pu 2.26
N 0.6239 0.1239 0.5000  2 Pu 2.26